DFT (PBE with a Hubbard U) results for an optimized crystal structure of PrSc2MoO8.

Properties
DFT total energy = -7.947 eV per atom
mass density = 4.71 g cm⁻³
M_tot = 0.54 Bohr magnetons per cell

Lattice parameters (Å, degrees): 4.8577 4.8577 6.7898 90.00 90.00 90.16
Last column: nearest neighbours and their distance in Å.
Fractional positions:
Pr 0.0000 0.0000 0.0000  6 O 2.28-2.40
Sc 0.5000 0.5000 0.2648  6 O 2.11-2.15
Sc 0.5000 0.5000 0.7352  6 O 2.11-2.15
Mo 0.0000 0.0000 0.5000  6 O 1.93-1.98
O 0.1942 0.8058 0.2942  1 Mo 1.93, 1 Sc 2.11
O 0.1942 0.8058 0.7058  1 Mo 1.93, 1 Sc 2.11
O 0.2891 0.2891 0.5000  1 Mo 1.98, 2 Sc 2.15
O 0.3328 0.3328 0.0000  2 Sc 2.13, 1 Pr 2.28, 1 O 2.29
O 0.6672 0.6672 0.0000  2 Sc 2.13, 1 Pr 2.28, 1 O 2.29
O 0.7109 0.7109 0.5000  1 Mo 1.98, 2 Sc 2.15
O 0.8058 0.1942 0.2942  1 Mo 1.93, 1 Sc 2.11
O 0.8058 0.1942 0.7058  1 Mo 1.93, 1 Sc 2.11